# 1
## NbSe2 (PBE-GGA)

Data for NbSe2 after structural relaxation.

Cell lengths 7.3558, 6.9364, 3.4705 Å; angles 82.78, 69.31, 27.91 degrees
With the nearest neighbours (Å) after each atom.
Fractional coordinates of all 3 atoms:
Nb: 0.0755 0.9245 0.0755  6 Se 2.62
Se: 0.8673 0.3838 0.6162  3 Nb 2.62
Se: 0.6162 0.1327 0.8673  3 Nb 2.62

Results
symmetry	Fmm2 (42)
uncorrected formation energy	-82.5	kJ per mole of atoms
D(E_F)	1.17	states/eV/atom
crystal system	orthorhombic

# 2
## NbSe2 (PBE-GGA)

Data for NbSe2 after structural relaxation.

Cell lengths 3.4759, 3.4759, 26.1831 Å; angles 90.00, 90.00, 120.00 degrees
With the nearest neighbours (Å) after each atom.
Fractional coordinates of all 12 atoms:
Nb: 0.0000 0.0000 0.0000  6 Se 2.62
Nb: 0.0000 0.0000 0.5000  6 Se 2.62
Nb: 0.0000 0.0000 0.7500  6 Se 2.62
Nb: 0.0000 0.0000 0.2500  6 Se 2.62
Se: 0.6667 0.3333 0.9355  3 Nb 2.62
Se: 0.3333 0.6667 0.4355  3 Nb 2.62
Se: 0.3333 0.6667 0.0645  3 Nb 2.62
Se: 0.6667 0.3333 0.5645  3 Nb 2.62
Se: 0.6667 0.3333 0.3142  3 Nb 2.62
Se: 0.3333 0.6667 0.8142  3 Nb 2.62
Se: 0.3333 0.6667 0.6858  3 Nb 2.62
Se: 0.6667 0.3333 0.1858  3 Nb 2.62

Results
symmetry	P6_3/mmc (194)
uncorrected formation energy	-81.4	kJ per mole of atoms
D(E_F)	0.74	states/eV/atom
crystal system	hexagonal

# 3
## NbSe (PBE-GGA)

Data for NbSe after structural relaxation.

Cell lengths 3.3915, 6.0179, 12.1381 Å; angles 90.00, 90.00, 90.00 degrees
With the nearest neighbours (Å) after each atom.
Fractional coordinates of all 12 atoms:
Nb: 0.0000 0.9964 0.8692  4 Se 2.56-2.65
Nb: 0.5000 0.0036 0.6308  4 Se 2.56-2.65
Nb: 0.5000 0.0036 0.3692  4 Se 2.56-2.65
Nb: 0.0000 0.9964 0.1308  4 Se 2.56-2.65
Nb: 0.0000 0.7020 0.5000  4 Se 2.57-2.69
Nb: 0.5000 0.2980 0.0000  4 Se 2.57-2.69
Se: 0.0000 0.7133 0.7117  4 Nb 2.56-2.63
Se: 0.5000 0.2867 0.7883  4 Nb 2.56-2.63
Se: 0.5000 0.2867 0.2117  4 Nb 2.56-2.63
Se: 0.0000 0.7133 0.2883  4 Nb 2.56-2.63
Se: 0.0000 0.6445 0.0000  4 Nb 2.65-2.69
Se: 0.5000 0.3555 0.5000  4 Nb 2.65-2.69

Results
symmetry	Pmmn (59)
uncorrected formation energy	-55.9	kJ per mole of atoms
D(E_F)	0.80	states/eV/atom
crystal system	orthorhombic

# 4
## Nb3Se4 (PBE-GGA)

Data for Nb3Se4 after structural relaxation.

Cell lengths 4.3383, 5.3012, 6.7705 Å; angles 105.75, 108.69, 90.00 degrees
With the nearest neighbours (Å) after each atom.
Fractional coordinates of all 7 atoms:
Nb: 0.0000 0.0000 0.0000  6 Se 2.65-2.71, 2 Nb 2.90
Nb: 0.7734 0.6919 0.5467  7 Se 2.71-2.83, 3 Nb 2.90-2.92
Nb: 0.2266 0.3081 0.4533  7 Se 2.71-2.83, 3 Nb 2.90-2.92
Se: 0.5871 0.2905 0.1743  5 Nb 2.71-2.80
Se: 0.4129 0.7095 0.8257  5 Nb 2.71-2.80
Se: 0.8409 0.2277 0.6819  5 Nb 2.65-2.83
Se: 0.1591 0.7723 0.3181  5 Nb 2.65-2.83

Results
symmetry	C2/m (12)
energy above the lowest structure with this stoichiometry	213.9	kJ/mol of formula units
uncorrected formation energy	-54.6	kJ per mole of atoms
D(E_F)	0.60	states/eV/atom
crystal system	monoclinic

# 5
## NbSe (PBE-GGA)

Data for NbSe after structural relaxation.

Cell lengths 7.8166, 9.3708, 9.4404 Å; angles 90.00, 90.00, 90.00 degrees
With the nearest neighbours (Å) after each atom.
Fractional coordinates of all 32 atoms:
Nb: 0.0000 0.6434 0.0000  4 Se 2.58-2.62, 1 Nb 2.69
Nb: 0.0000 0.3566 0.0000  4 Se 2.58-2.62, 1 Nb 2.69
Nb: 0.2500 0.1066 0.2500  4 Se 2.58-2.62, 1 Nb 2.69
Nb: 0.2500 0.3934 0.2500  4 Se 2.58-2.62, 1 Nb 2.69
Nb: 0.0000 0.1434 0.5000  4 Se 2.58-2.62, 1 Nb 2.69
Nb: 0.0000 0.8566 0.5000  4 Se 2.58-2.62, 1 Nb 2.69
Nb: 0.2500 0.6066 0.7500  4 Se 2.58-2.62, 1 Nb 2.69
Nb: 0.2500 0.8934 0.7500  4 Se 2.58-2.62, 1 Nb 2.69
Nb: 0.5000 0.6434 0.5000  4 Se 2.58-2.62, 1 Nb 2.69
Nb: 0.5000 0.3566 0.5000  4 Se 2.58-2.62, 1 Nb 2.69
Nb: 0.7500 0.1066 0.7500  4 Se 2.58-2.62, 1 Nb 2.69
Nb: 0.7500 0.3934 0.7500  4 Se 2.58-2.62, 1 Nb 2.69
Nb: 0.5000 0.1434 0.0000  4 Se 2.58-2.62, 1 Nb 2.69
Nb: 0.5000 0.8566 0.0000  4 Se 2.58-2.62, 1 Nb 2.69
Nb: 0.7500 0.6066 0.2500  4 Se 2.58-2.62, 1 Nb 2.69
Nb: 0.7500 0.8934 0.2500  4 Se 2.58-2.62, 1 Nb 2.69
Se: 0.2124 0.0000 0.0000  4 Nb 2.58-2.62
Se: 0.7876 0.0000 0.0000  4 Nb 2.58-2.62
Se: 0.0376 0.7500 0.2500  4 Nb 2.58-2.62
Se: 0.4624 0.7500 0.2500  4 Nb 2.58-2.62
Se: 0.2124 0.5000 0.5000  4 Nb 2.58-2.62
Se: 0.7876 0.5000 0.5000  4 Nb 2.58-2.62
Se: 0.0376 0.2500 0.7500  4 Nb 2.58-2.62
Se: 0.4624 0.2500 0.7500  4 Nb 2.58-2.62
Se: 0.7124 0.0000 0.5000  4 Nb 2.58-2.62
Se: 0.2876 0.0000 0.5000  4 Nb 2.58-2.62
Se: 0.5376 0.7500 0.7500  4 Nb 2.58-2.62
Se: 0.9624 0.7500 0.7500  4 Nb 2.58-2.62
Se: 0.7124 0.5000 0.0000  4 Nb 2.58-2.62
Se: 0.2876 0.5000 0.0000  4 Nb 2.58-2.62
Se: 0.5376 0.2500 0.2500  4 Nb 2.58-2.62
Se: 0.9624 0.2500 0.2500  4 Nb 2.58-2.62

Results
symmetry	Fddd (70)
uncorrected formation energy	-41.1	kJ per mole of atoms
D(E_F)	0.42	states/eV/atom
crystal system	orthorhombic

# 6
## NbSe3 (PBE-GGA)

Data for NbSe3 after structural relaxation.

Cell lengths 4.8506, 3.7764, 11.4310 Å; angles 90.00, 112.78, 90.00 degrees
With the nearest neighbours (Å) after each atom.
Fractional coordinates of all 8 atoms:
Nb: 0.3476 0.2500 0.3211  7 Se 2.58-2.87
Nb: 0.6524 0.7500 0.6789  7 Se 2.58-2.87
Se: 0.7541 0.2500 0.8473  2 Nb 2.60
Se: 0.2459 0.7500 0.1527  2 Nb 2.60
Se: 0.7730 0.2500 0.2030  2 Nb 2.58-2.87
Se: 0.2270 0.7500 0.7970  2 Nb 2.58-2.87
Se: 0.2855 0.2500 0.5400  3 Nb 2.63-2.66
Se: 0.7145 0.7500 0.4600  3 Nb 2.63-2.66

Results
symmetry	P2_1/m (11)
uncorrected formation energy	-40.0	kJ per mole of atoms
D(E_F)	0.48	states/eV/atom
crystal system	monoclinic

# 7
## NbSe (PBE-GGA)

Data for NbSe after structural relaxation.

Cell lengths 3.2650, 3.2650, 8.7636 Å; angles 90.00, 90.00, 120.00 degrees
With the nearest neighbours (Å) after each atom.
Fractional coordinates of all 4 atoms:
Nb: 0.3333 0.6667 0.6914  4 Se 2.57-2.64
Nb: 0.6667 0.3333 0.1914  4 Se 2.57-2.64
Se: 0.3333 0.6667 0.3906  4 Nb 2.57-2.64
Se: 0.6667 0.3333 0.8906  4 Nb 2.57-2.64

Results
symmetry	P6_3mc (186)
uncorrected formation energy	-31.1	kJ per mole of atoms
D(E_F)	1.40	states/eV/atom
crystal system	hexagonal

# 8
## Nb3Se (PBE-GGA)

Data for Nb3Se after structural relaxation.

Cell lengths 3.3356, 3.0471, 7.5600 Å; angles 90.00, 90.00, 90.00 degrees
With the nearest neighbours (Å) after each atom.
Fractional coordinates of all 4 atoms:
Nb: 0.0000 0.5000 0.4678  8 Nb 2.87-3.05
Nb: 0.5000 0.5000 0.1591  4 Se 2.60, 2 Nb 2.87
Nb: 0.5000 0.0000 0.7178  2 Se 2.64, 4 Nb 2.95
Se: 0.0000 0.0000 0.9886  6 Nb 2.60-2.64

Results
symmetry	Pmm2 (25)
uncorrected formation energy	13.5	kJ per mole of atoms
D(E_F)	1.00	states/eV/atom
crystal system	orthorhombic

In eV/atom, the DFT total energy values for the records above are, in order, -6.535 -6.523 -7.356 -6.872 -7.203 -5.546 -7.099 -8.284.